## GaAg3Au (GGA-PBE)

Data for an optimized crystal structure of GaAg3Au.

Cell: 6.764 6.764 6.764 Å, 86.50 113.24 131.79°
Fractional positions:
Ag (0.521, 0.350, 0.217)
Ag (0.133, 0.304, 0.783)
Ag (0.133, 0.850, 0.329)
Ag (0.521, 0.804, 0.671)
Ag (0.096, 0.255, 0.341)
Ag (0.913, 0.755, 0.659)
Ga (0.563, 0.763, 0.300)
Ga (0.462, 0.263, 0.700)
Au (0.986, 0.487, 0.999)
Au (0.488, 0.987, 0.001)

Results
Calculated total energy = -2.8722 eV/atom
Space-group type = No. 46